## CaSb2W (PBE)

Data for a geometry-optimized CaSb2W structure.

Uncorrected formation energy = 0.041 eV/atom
Space-group type = Cm, No. 8

The structure in POSCAR format:
```
CaSb2W
1.0
4.203 -1.892 0.000
4.203 1.892 0.000
-3.214 0.000 6.303
Ca Sb W
1 2 1
Cartesian
0.000 0.000 0.000
-0.739 0.000 4.331
2.532 0.000 1.872
5.058 0.000 2.951
```